[1]
An optimized crystal structure of MnReP2, computed with PBE-GGA.

Cell and atoms, written as POSCAR:
```
MnReP2
1.0
7.317 0.000 0.000
0.000 2.857 0.000
-1.071 0.000 4.789
Mn Re P
2 2 4
Direct
0.000 0.000 0.000
0.500 0.500 0.000
0.000 0.500 0.500
0.500 0.000 0.500
0.247 0.500 0.227
0.253 0.000 0.773
0.747 0.000 0.227
0.753 0.500 0.773
```

Calculated density in g/cm3: 10.1
Final energy in eV for the cell shown: -65.33
Energy relative to the elements in eV/atom: -0.0566
Energy above the most stable polymorph in this dataset in eV per formula unit: 0.83


[2]
An optimized crystal structure of Cs2CdAuCl6, computed with PBE-GGA.

Cell and atoms, written as POSCAR:
```
Cs2CdAuCl6
1.0
-3.817 3.817 5.256
3.817 -3.817 5.256
3.817 3.817 -5.256
Cs Cd Au Cl
2 1 1 6
Direct
0.250 0.750 0.500
0.750 0.250 0.500
0.000 0.000 0.000
0.500 0.500 0.000
0.238 0.238 0.476
0.238 0.762 0.000
0.275 0.275 0.000
0.725 0.725 0.000
0.762 0.238 0.000
0.762 0.762 0.524
```

Calculated density in g/cm3: 4.3
Formation energy without anion corrections in meV/atom: -1187
Final energy in eV for the cell shown: -28.85


[3]
An optimized crystal structure of Zn3TcH, computed with PBE-GGA.

Cell and atoms, written as POSCAR:
```
Zn3TcH
1.0
3.905 0.000 0.000
0.000 3.905 0.000
0.000 0.000 3.905
Zn Tc H
3 1 1
Direct
0.000 0.000 0.500
0.000 0.500 0.000
0.500 0.000 0.000
0.500 0.500 0.500
0.000 0.000 0.000
```

Calculated density in g/cm3: 8.2
Final energy in eV for the cell shown: -16.27
Energy above the most stable polymorph in this dataset in eV per formula unit: 0.00


[4]
An optimized crystal structure of Sm4P3H4, computed with PBE-GGA.

Cell and atoms, written as POSCAR:
```
Sm4P3H4
1.0
-3.546 3.546 3.546
3.546 -3.546 3.546
3.546 3.546 -3.546
Sm P H
4 3 4
Direct
0.000 0.000 0.622
0.000 0.622 0.000
0.378 0.378 0.378
0.622 0.000 0.000
0.000 0.500 0.500
0.500 0.000 0.500
0.500 0.500 0.000
0.000 0.000 0.242
0.000 0.242 0.000
0.242 0.000 0.000
0.758 0.758 0.758
```

Calculated density in g/cm3: 6.5
Final energy in eV for the cell shown: -58.40


[5]
An optimized crystal structure of ZnCo2Rh, computed with PBE-GGA.

Cell and atoms, written as POSCAR:
```
ZnCo2Rh
1.0
4.270 0.000 0.000
0.000 4.270 0.000
0.000 0.000 2.764
Zn Co Rh
1 2 1
Direct
0.000 0.000 0.000
0.000 0.500 0.500
0.500 0.000 0.500
0.500 0.500 0.000
```

Calculated density in g/cm3: 9.4
Final energy in eV for the cell shown: -22.50
Energy relative to the elements in eV/atom: 0.0839


[6]
An optimized crystal structure of CdPb2Br, computed with PBE-GGA.

Cell and atoms, written as POSCAR:
```
CdPb2Br
1.0
3.683 0.000 0.000
0.000 5.704 0.000
0.000 0.000 6.012
Cd Pb Br
1 2 1
Direct
0.000 0.000 0.000
0.000 0.000 0.500
0.500 0.500 0.498
0.500 0.500 0.998
```

Calculated density in g/cm3: 8.0
Formation energy without anion corrections in meV/atom: -180
Final energy in eV for the cell shown: -10.72
Energy above the most stable polymorph in this dataset in eV per formula unit: 0.00


[7]
An optimized crystal structure of Ba3Li2, computed with PBE-GGA.

Cell and atoms, written as POSCAR:
```
Ba3Li2
1.0
5.500 3.175 4.367
-5.500 3.175 4.367
0.000 -6.351 4.367
Ba Li
6 4
Direct
0.077 0.750 0.423
0.250 0.577 0.923
0.423 0.077 0.750
0.577 0.923 0.250
0.750 0.423 0.077
0.923 0.250 0.577
0.124 0.124 0.124
0.376 0.376 0.376
0.624 0.624 0.624
0.876 0.876 0.876
```

Calculated density in g/cm3: 3.1
Final energy in eV for the cell shown: -18.61
Energy relative to the elements in eV/atom: 0.0577
Energy above the most stable polymorph in this dataset in eV per formula unit: 0.10


[8]
An optimized crystal structure of KGaSn3, computed with PBE-GGA.

Cell and atoms, written as POSCAR:
```
KGaSn3
1.0
6.634 -3.345 0.000
6.634 3.345 0.000
-2.445 0.000 7.878
K Ga Sn
2 2 6
Direct
0.208 0.208 0.177
0.792 0.792 0.823
0.500 0.500 0.000
0.500 0.500 0.500
0.186 0.724 0.234
0.276 0.814 0.766
0.342 0.342 0.676
0.658 0.658 0.324
0.724 0.186 0.234
0.814 0.276 0.766
```

Calculated density in g/cm3: 4.4
Final energy in eV for the cell shown: -32.15
Energy relative to the elements in eV/atom: 0.0120
Energy above the most stable polymorph in this dataset in eV per formula unit: 0.76


Please write out number 1 again, unchanged.
An optimized crystal structure of MnReP2, computed with PBE-GGA.

Cell and atoms, written as POSCAR:
```
MnReP2
1.0
7.317 0.000 0.000
0.000 2.857 0.000
-1.071 0.000 4.789
Mn Re P
2 2 4
Direct
0.000 0.000 0.000
0.500 0.500 0.000
0.000 0.500 0.500
0.500 0.000 0.500
0.247 0.500 0.227
0.253 0.000 0.773
0.747 0.000 0.227
0.753 0.500 0.773
```

Calculated density in g/cm3: 10.1
Final energy in eV for the cell shown: -65.33
Energy relative to the elements in eV/atom: -0.0566
Energy above the most stable polymorph in this dataset in eV per formula unit: 0.83


Please write out number 4 again, unchanged.
An optimized crystal structure of Sm4P3H4, computed with PBE-GGA.

Cell and atoms, written as POSCAR:
```
Sm4P3H4
1.0
-3.546 3.546 3.546
3.546 -3.546 3.546
3.546 3.546 -3.546
Sm P H
4 3 4
Direct
0.000 0.000 0.622
0.000 0.622 0.000
0.378 0.378 0.378
0.622 0.000 0.000
0.000 0.500 0.500
0.500 0.000 0.500
0.500 0.500 0.000
0.000 0.000 0.242
0.000 0.242 0.000
0.242 0.000 0.000
0.758 0.758 0.758
```

Calculated density in g/cm3: 6.5
Final energy in eV for the cell shown: -58.40


Please write out number 7 again, unchanged.
An optimized crystal structure of Ba3Li2, computed with PBE-GGA.

Cell and atoms, written as POSCAR:
```
Ba3Li2
1.0
5.500 3.175 4.367
-5.500 3.175 4.367
0.000 -6.351 4.367
Ba Li
6 4
Direct
0.077 0.750 0.423
0.250 0.577 0.923
0.423 0.077 0.750
0.577 0.923 0.250
0.750 0.423 0.077
0.923 0.250 0.577
0.124 0.124 0.124
0.376 0.376 0.376
0.624 0.624 0.624
0.876 0.876 0.876
```

Calculated density in g/cm3: 3.1
Final energy in eV for the cell shown: -18.61
Energy relative to the elements in eV/atom: 0.0577
Energy above the most stable polymorph in this dataset in eV per formula unit: 0.10


Q: Number 2 is which compound?
A: Cs2CdAuCl6